*1*
The following is a PBE with a Hubbard U calculation of an optimized crystal structure of Mn6OF11, from Alexandria.

- SG: C2, No. 5

Cell: 5.918 5.918 7.762 Å, 72.93 72.93 70.69°
Each line ends with the local moment (μB).
Element x y z (fractional)
Mn1 0.669 0.647 0.842  4.60
Mn2 0.338 0.327 0.668  4.70
Mn3 0.673 0.662 0.332  4.70
Mn4 0.353 0.331 0.158  4.60
Mn5 0.002 0.998 0.500  4.70
Mn6 0.975 0.025 0.000  4.28
O1 0.698 0.302 0.000  -0.12
F1 0.638 0.012 0.670  0.05
F2 0.988 0.362 0.330  0.05
F3 0.899 0.906 0.291  0.05
F4 0.568 0.560 0.630  0.05
F5 0.220 0.233 0.967  0.04
F6 0.094 0.101 0.709  0.05
F7 0.767 0.780 0.033  0.04
F8 0.440 0.432 0.370  0.05
F9 0.365 0.969 0.336  0.06
F10 0.031 0.635 0.664  0.06
F11 0.281 0.719 0.000  0.03

*2*
The following is a PBE with a Hubbard U calculation of an optimized crystal structure of Mn6OF11, from Alexandria.

- SG: Pc, No. 7

Cell: 16.105 4.887 7.635 Å, 50.64 90.00 90.00°
Each line ends with the local moment (μB).
Element x y z (fractional)
Mn1 0.831 0.853 0.149  0.97
Mn2 0.656 0.126 0.853  2.03
Mn3 0.496 0.831 0.172  4.66
Mn4 0.172 0.835 0.164  4.70
Mn5 0.002 0.173 0.836  4.70
Mn6 0.336 0.163 0.837  4.69
Mn7 0.998 0.173 0.336  4.70
Mn8 0.344 0.126 0.353  2.03
Mn9 0.664 0.163 0.337  4.69
Mn10 0.504 0.831 0.672  4.66
Mn11 0.828 0.835 0.664  4.70
Mn12 0.169 0.853 0.649  0.97
O1 0.562 0.894 0.892  0.03
O2 0.438 0.894 0.392  0.03
F1 0.722 0.665 0.107  0.01
F2 0.058 0.668 0.114  0.05
F3 0.385 0.629 0.116  0.03
F4 0.889 0.879 0.891  0.04
F5 0.222 0.902 0.876  0.04
F6 0.558 0.341 0.393  0.06
F7 0.716 0.106 0.627  0.02
F8 0.886 0.354 0.389  0.03
F9 0.060 0.124 0.609  0.04
F10 0.233 0.328 0.375  0.02
F11 0.386 0.129 0.600  0.03
F12 0.615 0.629 0.616  0.03
F13 0.778 0.902 0.376  0.04
F14 0.942 0.668 0.614  0.05
F15 0.278 0.665 0.607  0.01
F16 0.111 0.879 0.391  0.04
F17 0.614 0.129 0.100  0.03
F18 0.940 0.124 0.109  0.04
F19 0.767 0.328 0.875  0.02
F20 0.442 0.341 0.893  0.06
F21 0.284 0.106 0.127  0.02
F22 0.114 0.354 0.889  0.03

*3*
The following is a PBE with a Hubbard U calculation of an optimized crystal structure of Mn6OF11, from Alexandria.

- SG: P2_1, No. 4

Cell: 16.223 4.961 5.884 Å, 89.46 90.00 90.00°
Each line ends with the local moment (μB).
Element x y z (fractional)
Mn1 0.415 0.245 0.922  4.70
Mn2 0.248 0.229 0.587  4.70
Mn3 0.088 0.223 0.946  4.64
Mn4 0.746 0.249 0.906  4.67
Mn5 0.585 0.244 0.600  4.12
Mn6 0.920 0.267 0.580  4.70
Mn7 0.588 0.777 0.054  4.64
Mn8 0.915 0.755 0.078  4.70
Mn9 0.420 0.733 0.420  4.70
Mn10 0.246 0.751 0.094  4.67
Mn11 0.085 0.756 0.400  4.12
Mn12 0.748 0.771 0.413  4.70
O1 0.637 0.047 0.829  -0.09
O2 0.137 0.953 0.171  -0.09
F1 0.308 0.003 0.860  0.06
F2 0.973 0.041 0.862  0.05
F3 0.137 0.999 0.652  0.05
F4 0.477 0.025 0.636  0.04
F5 0.810 0.032 0.634  0.06
F6 0.310 0.968 0.366  0.06
F7 0.473 0.959 0.138  0.05
F8 0.637 0.001 0.348  0.05
F9 0.808 0.997 0.140  0.06
F10 0.977 0.975 0.364  0.04
F11 0.024 0.518 0.145  0.05
F12 0.357 0.511 0.150  0.05
F13 0.532 0.497 0.373  0.03
F14 0.188 0.511 0.379  0.04
F15 0.859 0.533 0.356  0.06
F16 0.695 0.551 0.125  0.05
F17 0.359 0.467 0.644  0.06
F18 0.857 0.489 0.850  0.05
F19 0.195 0.449 0.875  0.05
F20 0.032 0.503 0.627  0.03
F21 0.524 0.482 0.855  0.05
F22 0.688 0.489 0.621  0.04

Name the most stable of them. *1*.

*1*
The following is a PBE with a Hubbard U calculation of an optimized crystal structure of Mn2OF3, from Alexandria.

- SG: P-3m1, No. 164

Cell: 6.198 6.198 4.838 Å, 90.00 90.00 120.00°
Each line ends with the local moment (μB).
Element x y z (fractional)
Mn1 0.500 0.500 0.500  4.26
Mn2 0.500 0.000 0.500  4.26
Mn3 0.000 0.500 0.500  4.26
Mn4 0.000 0.000 0.000  4.69
O1 0.333 0.667 0.658  -0.13
O2 0.667 0.333 0.342  -0.13
F1 0.163 0.837 0.259  0.04
F2 0.163 0.326 0.259  0.04
F3 0.674 0.837 0.259  0.04
F4 0.326 0.163 0.741  0.04
F5 0.837 0.674 0.741  0.04
F6 0.837 0.163 0.741  0.04

*2*
The following is a PBE with a Hubbard U calculation of an optimized crystal structure of Mn2OF3, from Alexandria.

- SG: C2/m, No. 12

Cell: 5.827 5.827 4.881 Å, 88.07 88.07 65.65°
Each line ends with the local moment (μB).
Element x y z (fractional)
Mn1 0.000 0.500 0.500  4.14
Mn2 0.500 0.000 0.500  4.14
Mn3 0.500 0.500 0.000  4.56
Mn4 0.000 0.000 0.000  4.67
O1 0.337 0.337 0.322  -0.14
O2 0.663 0.663 0.678  -0.14
F1 0.352 0.851 0.202  0.04
F2 0.851 0.352 0.202  0.04
F3 0.853 0.853 0.305  0.04
F4 0.147 0.147 0.695  0.04
F5 0.648 0.149 0.798  0.04
F6 0.149 0.648 0.798  0.04

*3*
The following is a PBE with a Hubbard U calculation of an optimized crystal structure of Mn2OF3, from Alexandria.

- SG: P1, No. 1

Cell: 4.875 5.803 13.585 Å, 76.49 88.39 88.09°
Each line ends with the local moment (μB).
Element x y z (fractional)
Mn1 0.499 0.503 0.002  4.23
Mn2 0.503 0.696 0.399  4.21
Mn3 0.496 0.296 0.601  -1.91
Mn4 0.504 0.099 0.201  2.05
Mn5 0.514 0.899 0.793  4.14
Mn6 0.001 0.599 0.200  4.60
Mn7 0.002 0.197 0.401  4.67
Mn8 0.968 0.417 0.805  4.55
Mn9 0.004 0.790 0.598  4.61
Mn10 0.011 0.002 0.001  4.67
O1 0.681 0.799 0.263  -0.07
O2 0.679 0.598 0.864  -0.15
O3 0.683 0.996 0.659  -0.09
O4 0.324 0.399 0.138  -0.07
O5 0.324 0.594 0.536  -0.10
F1 0.790 0.095 0.865  0.06
F2 0.789 0.277 0.261  0.03
F3 0.780 0.467 0.659  0.03
F4 0.804 0.678 0.057  0.04
F5 0.803 0.871 0.457  0.04
F6 0.705 0.172 0.066  0.02
F7 0.698 0.365 0.466  0.03
F8 0.305 0.028 0.336  0.02
F9 0.308 0.836 0.929  0.03
F10 0.294 0.216 0.740  0.01
F11 0.218 0.121 0.541  0.03
F12 0.202 0.522 0.342  0.04
F13 0.220 0.920 0.140  0.02
F14 0.207 0.329 0.941  0.04
F15 0.183 0.718 0.740  0.06

Name the most stable of them. *1*.

*1*
The following is a PBE with a Hubbard U calculation of an optimized crystal structure of Mn4O7F, from Alexandria.

- SG: P2_1, No. 4

Cell: 8.962 5.494 4.962 Å, 90.00 90.00 88.57°
Each line ends with the local moment (μB).
Element x y z (fractional)
Mn1 0.003 0.166 0.260  3.70
Mn2 0.000 0.847 0.738  3.69
Mn3 0.247 0.334 0.760  3.70
Mn4 0.250 0.653 0.238  3.69
Mn5 0.511 0.868 0.755  3.33
Mn6 0.500 0.145 0.249  3.36
Mn7 0.750 0.355 0.749  3.36
Mn8 0.739 0.632 0.255  3.33
O1 0.108 0.106 0.924  -0.25
O2 0.115 0.889 0.414  -0.20
O3 0.142 0.394 0.424  -0.25
O4 0.135 0.611 0.914  -0.20
O5 0.370 0.388 0.076  -0.19
O6 0.388 0.112 0.578  -0.15
O7 0.388 0.896 0.073  -0.15
O8 0.622 0.110 0.926  -0.17
O9 0.621 0.891 0.424  -0.13
O10 0.628 0.390 0.426  -0.17
O11 0.629 0.609 0.924  -0.13
O12 0.862 0.388 0.078  -0.15
O13 0.862 0.604 0.573  -0.15
O14 0.880 0.112 0.576  -0.19
F1 0.375 0.628 0.582  0.00
F2 0.875 0.872 0.082  0.00

*2*
The following is a PBE with a Hubbard U calculation of an optimized crystal structure of Mn4O7F, from Alexandria.

- SG: P1, No. 1

Cell: 6.705 5.491 6.655 Å, 89.29 95.99 88.83°
Each line ends with the local moment (μB).
Element x y z (fractional)
Mn1 0.373 0.353 0.138  3.43
Mn2 0.123 0.653 0.379  3.47
Mn3 0.880 0.169 0.137  3.60
Mn4 0.370 0.131 0.611  3.35
Mn5 0.138 0.858 0.876  3.43
Mn6 0.629 0.851 0.372  3.38
Mn7 0.624 0.650 0.874  3.90
Mn8 0.874 0.355 0.628  3.47
O1 0.157 0.117 0.081  -0.19
O2 0.170 0.612 0.095  -0.17
O3 0.330 0.390 0.410  -0.18
O4 0.571 0.609 0.154  -0.17
O5 0.080 0.611 0.660  -0.20
O6 0.346 0.888 0.417  -0.17
O7 0.094 0.105 0.667  -0.14
O8 0.595 0.113 0.170  -0.19
O9 0.405 0.888 0.825  -0.15
O10 0.654 0.103 0.578  -0.19
O11 0.905 0.888 0.323  -0.14
O12 0.925 0.397 0.351  -0.21
O13 0.669 0.608 0.591  -0.17
O14 0.822 0.387 0.907  -0.12
F1 0.407 0.366 0.840  0.02
F2 0.856 0.895 0.920  0.01

*3*
The following is a PBE with a Hubbard U calculation of an optimized crystal structure of Mn4O7F, from Alexandria.

- SG: Cc, No. 9

Cell: 6.677 6.677 6.992 Å, 65.52 65.52 96.25°
Each line ends with the local moment (μB).
Element x y z (fractional)
Mn1 0.301 0.801 0.149  3.91
Mn2 0.198 0.200 0.853  3.35
Mn3 0.677 0.699 0.358  3.35
Mn4 0.801 0.301 0.649  3.91
Mn5 0.200 0.198 0.353  3.35
Mn6 0.297 0.804 0.651  3.33
Mn7 0.804 0.297 0.151  3.33
Mn8 0.699 0.677 0.858  3.35
O1 0.906 0.234 0.384  -0.12
O2 0.393 0.726 0.395  -0.14
O3 0.281 0.106 0.106  -0.17
O4 0.863 0.040 0.109  -0.16
O5 0.234 0.906 0.884  -0.12
O6 0.461 0.131 0.393  -0.19
O7 0.536 0.372 0.610  -0.20
O8 0.040 0.863 0.609  -0.16
O9 0.131 0.461 0.893  -0.19
O10 0.774 0.599 0.112  -0.16
O11 0.372 0.536 0.110  -0.20
O12 0.726 0.393 0.895  -0.14
O13 0.599 0.774 0.612  -0.16
O14 0.106 0.281 0.606  -0.17
F1 0.656 0.949 0.880  0.04
F2 0.949 0.656 0.380  0.04

Name the most stable of them. *1*.

*1*
The following is a PBE with a Hubbard U calculation of an optimized crystal structure of Mn4O7F, from Alexandria.

- SG: Cc, No. 9

Cell: 6.687 6.687 5.494 Å, 89.91 89.91 83.95°
Each line ends with the local moment (μB).
Element x y z (fractional)
Mn1 0.372 0.133 0.648  3.54
Mn2 0.117 0.873 0.329  3.70
Mn3 0.133 0.372 0.148  3.54
Mn4 0.873 0.117 0.829  3.70
Mn5 0.383 0.618 0.869  3.43
Mn6 0.624 0.879 0.145  3.46
Mn7 0.618 0.383 0.369  3.43
Mn8 0.879 0.624 0.645  3.46
O1 0.153 0.172 0.886  -0.19
O2 0.172 0.153 0.386  -0.19
O3 0.576 0.099 0.393  -0.18
O4 0.081 0.592 0.385  -0.20
O5 0.347 0.824 0.111  -0.15
O6 0.099 0.576 0.893  -0.18
O7 0.592 0.081 0.885  -0.20
O8 0.411 0.416 0.113  -0.21
O9 0.660 0.670 0.895  -0.17
O10 0.898 0.930 0.103  -0.19
O11 0.416 0.411 0.613  -0.21
O12 0.670 0.660 0.395  -0.17
O13 0.930 0.898 0.603  -0.19
O14 0.824 0.347 0.611  -0.15
F1 0.334 0.838 0.622  0.00
F2 0.838 0.334 0.122  0.00

*2*
The following is a PBE with a Hubbard U calculation of an optimized crystal structure of Mn4O7F, from Alexandria.

- SG: C2, No. 5

Cell: 7.394 7.394 4.465 Å, 89.92 89.92 95.31°
Each line ends with the local moment (μB).
Element x y z (fractional)
Mn1 0.950 0.563 0.523  3.37
Mn2 0.050 0.950 0.500  3.39
Mn3 0.437 0.050 0.477  3.37
Mn4 0.554 0.446 0.500  3.39
Mn5 0.211 0.300 0.986  3.56
Mn6 0.302 0.698 0.000  3.38
Mn7 0.700 0.789 0.014  3.56
Mn8 0.801 0.199 0.000  3.96
O1 0.019 0.159 0.768  -0.16
O2 0.155 0.519 0.775  -0.14
O3 0.517 0.653 0.767  -0.19
O4 0.265 0.908 0.729  -0.18
O5 0.408 0.262 0.724  -0.20
O6 0.907 0.771 0.742  -0.17
O7 0.767 0.409 0.737  -0.15
O8 0.229 0.093 0.258  -0.17
O9 0.738 0.592 0.276  -0.20
O10 0.092 0.735 0.271  -0.18
O11 0.591 0.233 0.263  -0.15
O12 0.481 0.845 0.225  -0.14
O13 0.841 0.981 0.232  -0.16
O14 0.347 0.483 0.233  -0.19
F1 0.642 0.005 0.740  0.02
F2 0.995 0.358 0.260  0.02

Name the most stable of them. *2*.

*1*
The following is a PBE with a Hubbard U calculation of an optimized crystal structure of Mn4O7F, from Alexandria.

- SG: Pc, No. 7

Cell: 4.477 4.967 10.998 Å, 90.00 90.00 90.34°
Each line ends with the local moment (μB).
Element x y z (fractional)
Mn1 0.984 0.753 0.334  3.73
Mn2 0.984 0.253 0.666  3.73
Mn3 0.996 0.234 0.178  3.54
Mn4 0.996 0.734 0.822  3.54
Mn5 0.518 0.258 0.933  3.40
Mn6 0.488 0.756 0.574  3.44
Mn7 0.488 0.256 0.426  3.44
Mn8 0.518 0.758 0.067  3.40
O1 0.764 0.919 0.695  -0.20
O2 0.764 0.419 0.305  -0.20
O3 0.770 0.914 0.193  -0.17
O4 0.770 0.414 0.807  -0.17
O5 0.717 0.433 0.552  -0.21
O6 0.717 0.933 0.448  -0.21
O7 0.748 0.425 0.055  -0.16
O8 0.748 0.925 0.945  -0.16
O9 0.258 0.082 0.555  -0.17
O10 0.258 0.582 0.445  -0.17
O11 0.280 0.078 0.056  -0.15
O12 0.280 0.578 0.944  -0.15
O13 0.229 0.574 0.694  -0.19
O14 0.229 0.074 0.306  -0.19
F1 0.248 0.574 0.188  0.00
F2 0.248 0.074 0.812  0.00

*2*
The following is a PBE with a Hubbard U calculation of an optimized crystal structure of Mn4O7F, from Alexandria.

- SG: Pc, No. 7

Cell: 8.955 4.969 5.483 Å, 89.84 90.00 90.00°
Each line ends with the local moment (μB).
Element x y z (fractional)
Mn1 0.376 0.254 0.171  3.74
Mn2 0.377 0.740 0.857  3.62
Mn3 0.623 0.740 0.357  3.62
Mn4 0.624 0.254 0.671  3.74
Mn5 0.875 0.752 0.852  3.34
Mn6 0.885 0.254 0.129  3.35
Mn7 0.125 0.752 0.352  3.34
Mn8 0.115 0.254 0.629  3.35
O1 0.488 0.918 0.117  -0.21
O2 0.486 0.417 0.902  -0.21
O3 0.514 0.417 0.402  -0.21
O4 0.512 0.918 0.617  -0.21
O5 0.745 0.578 0.613  -0.20
O6 0.762 0.574 0.108  -0.15
O7 0.763 0.077 0.892  -0.14
O8 0.997 0.925 0.102  -0.14
O9 0.995 0.428 0.882  -0.17
O10 0.005 0.428 0.382  -0.17
O11 0.003 0.925 0.602  -0.14
O12 0.237 0.077 0.392  -0.14
O13 0.238 0.574 0.608  -0.15
O14 0.255 0.578 0.113  -0.20
F1 0.750 0.081 0.375  0.01
F2 0.250 0.081 0.875  0.01

Name the most stable of them. *2*.